First-principles (meta-GGA SCAN) data for SiSnTe2 at its PBEsol-relaxed geometry, as listed in the Alexandria database.

Cell lengths 3.7789, 3.7789, 9.5830 Å; angles 78.63, 78.63, 60.00 degrees
Fractional positions:
Si: 0.5000 0.5000 0.5000
Te: 0.8899 0.8899 0.3302
Te: 0.1101 0.1101 0.6698
Sn: 0.0000 0.0000 0.0000

Output
Uncorrected energy   -2.1993 Ry per atom
Total moment   0.00 μB per cell
Formation energy (no corrections)   187 meV per atom
Space-group type   No. 166
Density of states at the Fermi level   1.38 states/eV/f.u.